[1]
RbSmDy2 | PBE | relaxed

```
RbSmDy2
1.0
1.818 1.050 13.284
-1.818 1.050 13.284
0.000 -2.100 13.284
Rb Sm Dy
1 1 2
direct
0.000 0.000 0.000
0.500 0.500 0.500
0.095 0.095 0.095
0.905 0.905 0.905
```

Results
Total magnetization: 0.00 μB per formula unit
Space-group type: R-3m
Calculated total energy: -3.42 eV per atom

=====

[2]
Y6Tm4Pu | PBE | relaxed

```
Y6Tm4Pu
1.0
8.660 0.000 0.000
0.000 8.660 0.000
0.000 0.000 9.130
Y Tm Pu
12 8 2
direct
0.000 0.000 0.172
0.000 0.000 0.828
0.150 0.349 0.500
0.151 0.350 0.000
0.349 0.850 0.500
0.350 0.849 0.000
0.500 0.500 0.328
0.500 0.500 0.672
0.650 0.151 0.000
0.651 0.150 0.500
0.849 0.650 0.000
0.850 0.651 0.500
0.146 0.646 0.250
0.146 0.646 0.750
0.354 0.146 0.250
0.354 0.146 0.750
0.646 0.854 0.250
0.646 0.854 0.750
0.854 0.354 0.250
0.854 0.354 0.750
0.000 0.000 0.500
0.500 0.500 0.000
```

Results
Total magnetization: 4.49 μB per formula unit
Space-group type: P4/mnc
Calculated total energy: -6.27 eV per atom

=====

[3]
Rb2GaHgBi2 | PBE | relaxed

```
Rb2GaHgBi2
1.0
-3.749 8.245 3.691
3.749 -8.245 3.691
3.749 8.245 -3.691
Rb Ga Hg Bi
4 2 2 4
direct
0.161 0.229 0.389
0.339 0.729 0.068
0.661 0.271 0.932
0.839 0.771 0.611
0.250 0.750 0.500
0.750 0.250 0.500
0.250 0.250 0.000
0.750 0.750 0.000
0.096 0.718 0.814
0.404 0.218 0.623
0.596 0.782 0.377
0.904 0.282 0.186
```

Results
Total magnetization: 0.00 μB per formula unit
Space-group type: Ibam
Calculated total energy: -2.45 eV per atom

=====

[4]
Zr2ZnCu | PBE | relaxed

```
Zr2ZnCu
1.0
3.260 0.000 0.000
0.000 3.283 0.000
0.000 0.000 6.773
Zr Zn Cu
2 1 1
direct
0.000 0.000 0.245
0.000 0.000 0.755
0.500 0.500 0.500
0.500 0.500 0.000
```

Results
Total magnetization: 0.00 μB per formula unit
Space-group type: Pmmm
Calculated total energy: -5.80 eV per atom

=====

[5]
Rb2LiBeAs2 | PBE | relaxed

```
Rb2LiBeAs2
1.0
-3.171 7.987 3.108
3.171 -7.987 3.108
3.171 7.987 -3.108
Rb Li Be As
4 2 2 4
direct
0.165 0.235 0.400
0.335 0.735 0.069
0.665 0.265 0.931
0.835 0.765 0.600
0.250 0.250 0.000
0.750 0.750 0.000
0.250 0.750 0.500
0.750 0.250 0.500
0.075 0.712 0.787
0.425 0.212 0.637
0.575 0.788 0.363
0.925 0.288 0.213
```

Results
Total magnetization: 0.00 μB per formula unit
Space-group type: Ibam
Calculated total energy: -3.18 eV per atom

=====

[6]
YbPdPb2 | PBE | relaxed

```
YbPdPb2
1.0
4.494 0.000 0.000
0.000 8.125 0.000
-2.204 0.000 5.569
Yb Pd Pb
2 2 4
direct
0.072 0.250 0.142
0.928 0.750 0.858
0.212 0.750 0.417
0.788 0.250 0.583
0.356 0.046 0.718
0.356 0.454 0.718
0.644 0.546 0.282
0.644 0.954 0.282
```

Results
Total magnetization: 0.00 μB per formula unit
Space-group type: P2_1/m
Calculated total energy: -4.05 eV per atom